[1]
Here is a geometry-optimized CuPt4 structure from the Alexandria database. Energies are from PBEsol.

Properties
Total magnetization: 0.000 μB/cell
E_tot: -32.5 eV/cell
Fermi-level density of states: 6.69 states/eV per cell
Crystal system: tetragonal

a b c (Å): 3.8702 4.7223 4.7223
angles (deg): 80.33 65.81 65.81
Last column: nearest neighbours and their distance in Å.
Atoms (fractional coordinates):
Cu (0.0000, 0.0000, 0.0000)  12 Pt 2.70-2.73
Pt (0.7990, 0.5963, 0.8058)  9 Pt 2.69-2.76, 3 Cu 2.70-2.73
Pt (0.6048, 0.1942, 0.5963)  9 Pt 2.69-2.76, 3 Cu 2.70-2.73
Pt (0.2010, 0.4037, 0.1942)  9 Pt 2.69-2.76, 3 Cu 2.70-2.73
Pt (0.3952, 0.8058, 0.4037)  9 Pt 2.69-2.76, 3 Cu 2.70-2.73



[2]
Here is a geometry-optimized CuPt2 structure from the Alexandria database. Energies are from PBEsol.

Properties
Total magnetization: 0.001 μB/cell
E_tot: -74.2 eV/cell
Fermi-level density of states: 10.72 states/eV per cell
Crystal system: monoclinic

a b c (Å): 5.3871 5.3871 6.6373
angles (deg): 90.19 90.19 60.35
Last column: nearest neighbours and their distance in Å.
Atoms (fractional coordinates):
Cu (0.3339, 0.3339, 0.1675)  10 Pt 2.67-2.73, 2 Cu 2.71
Cu (0.5000, 0.0000, 0.5000)  8 Pt 2.66-2.69, 4 Cu 2.71
Cu (0.6661, 0.6661, 0.8325)  10 Pt 2.67-2.73, 2 Cu 2.71
Cu (0.0000, 0.5000, 0.5000)  8 Pt 2.66-2.69, 4 Cu 2.71
Pt (0.8354, 0.3380, 0.1703)  4 Cu 2.66-2.72, 8 Pt 2.67-2.77
Pt (0.0000, 0.0000, 0.5000)  8 Pt 2.68-2.71, 4 Cu 2.69
Pt (0.1646, 0.6620, 0.8297)  4 Cu 2.66-2.72, 8 Pt 2.67-2.77
Pt (0.8336, 0.8336, 0.1705)  7 Pt 2.67-2.74, 5 Cu 2.69-2.73
Pt (0.1664, 0.1664, 0.8295)  7 Pt 2.67-2.74, 5 Cu 2.69-2.73
Pt (0.3380, 0.8354, 0.1703)  4 Cu 2.66-2.72, 8 Pt 2.67-2.77
Pt (0.5000, 0.5000, 0.5000)  6 Cu 2.69, 6 Pt 2.70-2.71
Pt (0.6620, 0.1646, 0.8297)  4 Cu 2.66-2.72, 8 Pt 2.67-2.77



[3]
Here is a geometry-optimized Cu5Pt2 structure from the Alexandria database. Energies are from PBEsol.

Properties
Total magnetization: 0.000 μB/cell
E_tot: -36.3 eV/cell
Fermi-level density of states: 2.49 states/eV per cell
Crystal system: monoclinic

a b c (Å): 3.7664 4.4779 5.7592
angles (deg): 97.51 90.00 114.87
Last column: nearest neighbours and their distance in Å.
Atoms (fractional coordinates):
Cu (0.5754, 0.1509, 0.7041)  8 Cu 2.49-2.67, 4 Pt 2.56-2.65
Cu (0.8627, 0.7253, 0.5709)  9 Cu 2.48-2.67, 3 Pt 2.55-2.59
Cu (0.1373, 0.2747, 0.4291)  9 Cu 2.48-2.67, 3 Pt 2.55-2.59
Cu (0.4246, 0.8491, 0.2959)  8 Cu 2.49-2.67, 4 Pt 2.56-2.65
Cu (0.0000, 0.0000, 0.0000)  6 Cu 2.56-2.67, 6 Pt 2.60-2.64
Pt (0.7090, 0.4180, 0.1523)  10 Cu 2.55-2.65, 2 Pt 2.72
Pt (0.2910, 0.5820, 0.8477)  10 Cu 2.55-2.65, 2 Pt 2.72



[4]
Here is a geometry-optimized Cu7Pt5 structure from the Alexandria database. Energies are from PBEsol.

Properties
Total magnetization: 0.000 μB/cell
Fermi-level density of states: 6.57 states/eV per cell
Energy above the lowest structure with this stoichiometry: 2.7 kJ/mol of atoms
Crystal system: monoclinic

a b c (Å): 4.5672 5.2840 6.4741
angles (deg): 90.00 90.87 90.00
Last column: nearest neighbours and their distance in Å.
Atoms (fractional coordinates):
Cu (0.6707, 0.7389, 0.8357)  7 Cu 2.52-2.76, 5 Pt 2.58-2.71
Cu (0.5000, 0.5000, 0.5000)  6 Cu 2.62-2.68, 6 Pt 2.63-2.64
Cu (0.3293, 0.2611, 0.1643)  7 Cu 2.52-2.76, 5 Pt 2.58-2.71
Cu (0.8267, 0.5000, 0.1605)  8 Cu 2.55-2.68, 4 Pt 2.64-2.66
Cu (0.6707, 0.2611, 0.8357)  7 Cu 2.52-2.76, 5 Pt 2.58-2.71
Cu (0.3293, 0.7389, 0.1643)  7 Cu 2.52-2.76, 5 Pt 2.58-2.71
Cu (0.1733, 0.5000, 0.8395)  8 Cu 2.55-2.68, 4 Pt 2.64-2.66
Pt (0.1818, 0.0000, 0.8430)  8 Cu 2.58-2.71, 4 Pt 2.64-2.72
Pt (0.0000, 0.7451, 0.5000)  6 Pt 2.59-2.72, 6 Cu 2.63-2.66
Pt (0.5000, 0.0000, 0.5000)  6 Cu 2.64-2.68, 6 Pt 2.65-2.67
Pt (0.0000, 0.2549, 0.5000)  6 Pt 2.59-2.72, 6 Cu 2.63-2.66
Pt (0.8182, 0.0000, 0.1570)  8 Cu 2.58-2.71, 4 Pt 2.64-2.72



[5]
Here is a geometry-optimized CuPt2 structure from the Alexandria database. Energies are from PBEsol.

Properties
Total magnetization: 0.005 μB/cell
E_tot: -55.0 eV/cell
Fermi-level density of states: 16.75 states/eV per cell
Crystal system: hexagonal

a b c (Å): 2.6968 7.3199 7.3199
angles (deg): 120.00 90.00 90.00
Last column: nearest neighbours and their distance in Å.
Atoms (fractional coordinates):
Cu (0.5000, 0.0000, 0.0000)  9 Pt 2.57-2.69, 2 Cu 2.70
Cu (0.0000, 0.6667, 0.3333)  9 Pt 2.58-2.69, 2 Cu 2.70
Cu (0.0000, 0.3333, 0.6667)  9 Pt 2.58-2.69, 2 Cu 2.70
Pt (0.0000, 0.2984, 0.0000)  4 Cu 2.57-2.58, 8 Pt 2.70-2.82
Pt (0.5000, 0.6327, 0.0000)  5 Cu 2.69, 8 Pt 2.70-2.82
Pt (0.0000, 0.0000, 0.2984)  4 Cu 2.57-2.58, 8 Pt 2.70-2.82
Pt (0.5000, 0.0000, 0.6327)  5 Cu 2.69, 8 Pt 2.70-2.82
Pt (0.0000, 0.7016, 0.7016)  4 Cu 2.57-2.58, 8 Pt 2.70-2.82
Pt (0.5000, 0.3673, 0.3673)  5 Cu 2.69, 8 Pt 2.70-2.82



[6]
Here is a geometry-optimized CuPt2 structure from the Alexandria database. Energies are from PBEsol.

Properties
Total magnetization: 0.001 μB/cell
E_tot: -73.9 eV/cell
Fermi-level density of states: 12.91 states/eV per cell
Crystal system: monoclinic

a b c (Å): 3.8126 6.0725 7.5832
angles (deg): 108.05 90.00 90.00
Last column: nearest neighbours and their distance in Å.
Atoms (fractional coordinates):
Cu (0.0000, 0.0022, 0.0060)  8 Pt 2.58-2.74, 4 Cu 2.63-2.69
Cu (0.5000, 0.3317, 0.0876)  8 Pt 2.60-2.73, 4 Cu 2.63-2.69
Cu (0.5000, 0.0016, 0.2451)  8 Pt 2.62-2.70, 4 Cu 2.63-2.70
Cu (0.5000, 0.6670, 0.4115)  10 Pt 2.65-2.78, 2 Cu 2.66-2.70
Pt (0.0000, 0.6696, 0.1696)  5 Pt 2.62-2.70, 7 Cu 2.65-2.73
Pt (0.0000, 0.3275, 0.3206)  7 Cu 2.58-2.73, 5 Pt 2.67-2.79
Pt (0.0000, 0.9951, 0.4917)  8 Pt 2.62-2.80, 4 Cu 2.68-2.69
Pt (0.5000, 0.3332, 0.5769)  2 Cu 2.69, 10 Pt 2.71-2.80
Pt (0.0000, 0.6691, 0.6663)  9 Pt 2.70-2.79, 3 Cu 2.71-2.74
Pt (0.5000, 0.0016, 0.7579)  8 Pt 2.67-2.77, 4 Cu 2.68-2.78
Pt (0.0000, 0.3284, 0.8419)  3 Cu 2.65-2.66, 9 Pt 2.68-2.80
Pt (0.5000, 0.6730, 0.9249)  4 Cu 2.62-2.72, 8 Pt 2.66-2.80



[7]
Here is a geometry-optimized Cu5Pt7 structure from the Alexandria database. Energies are from PBEsol.

Properties
Total magnetization: 0.000 μB/cell
Fermi-level density of states: 11.97 states/eV per cell
Energy above the lowest structure with this stoichiometry: 2.0 kJ/mol of atoms
Crystal system: monoclinic

a b c (Å): 4.6360 5.9981 5.9981
angles (deg): 84.64 82.59 82.59
Last column: nearest neighbours and their distance in Å.
Atoms (fractional coordinates):
Cu (0.0000, 0.9980, 0.0020)  7 Pt 2.62-2.70, 5 Cu 2.64-2.70
Cu (0.7513, 0.4187, 0.0864)  9 Pt 2.62-2.71, 3 Cu 2.65-2.70
Cu (0.5000, 0.8324, 0.1676)  6 Pt 2.59-2.66, 6 Cu 2.66-2.68
Cu (0.0000, 0.6708, 0.3292)  7 Pt 2.60-2.74, 5 Cu 2.64-2.66
Cu (0.2487, 0.9136, 0.5813)  9 Pt 2.62-2.71, 3 Cu 2.65-2.70
Pt (0.2466, 0.2456, 0.2473)  6 Cu 2.64-2.72, 6 Pt 2.64-2.71
Pt (0.7513, 0.0733, 0.4095)  6 Cu 2.60-2.70, 6 Pt 2.67-2.79
Pt (0.5000, 0.5111, 0.4889)  5 Cu 2.59-2.65, 7 Pt 2.71-2.82
Pt (0.0000, 0.3319, 0.6681)  4 Cu 2.69-2.74, 8 Pt 2.70-2.74
Pt (0.7534, 0.7527, 0.7544)  6 Cu 2.64-2.72, 6 Pt 2.64-2.71
Pt (0.5000, 0.1614, 0.8386)  7 Pt 2.64-2.82, 5 Cu 2.66-2.70
Pt (0.2487, 0.5905, 0.9267)  6 Cu 2.60-2.70, 6 Pt 2.67-2.79



[8]
Here is a geometry-optimized Cu5Pt7 structure from the Alexandria database. Energies are from PBEsol.

Properties
Total magnetization: 0.000 μB/cell
Fermi-level density of states: 12.08 states/eV per cell
Energy above the lowest structure with this stoichiometry: 1.5 kJ/mol of atoms
Crystal system: triclinic

a b c (Å): 5.3418 5.9692 6.0266
angles (deg): 72.80 77.07 63.81
Last column: nearest neighbours and their distance in Å.
Atoms (fractional coordinates):
Cu (0.9158, 0.8326, 0.6646)  8 Pt 2.63-2.70, 4 Cu 2.66-2.69
Cu (0.5000, 0.0000, 0.0000)  8 Pt 2.66-2.70, 4 Cu 2.69-2.71
Cu (0.0842, 0.1674, 0.3354)  8 Pt 2.63-2.70, 4 Cu 2.66-2.69
Cu (0.8335, 0.6649, 0.3347)  8 Pt 2.65-2.70, 4 Cu 2.66-2.71
Cu (0.1665, 0.3351, 0.6653)  8 Pt 2.65-2.70, 4 Cu 2.66-2.71
Pt (0.6750, 0.3292, 0.6621)  6 Cu 2.63-2.70, 6 Pt 2.67-2.74
Pt (0.2466, 0.4971, 0.0007)  7 Pt 2.62-2.74, 5 Cu 2.66-2.70
Pt (0.4134, 0.8410, 0.6640)  6 Pt 2.62-2.74, 6 Cu 2.65-2.69
Pt (0.0000, 0.0000, 0.0000)  6 Cu 2.67-2.70, 6 Pt 2.68-2.69
Pt (0.5866, 0.1590, 0.3360)  6 Pt 2.62-2.74, 6 Cu 2.65-2.69
Pt (0.7534, 0.5029, 0.9993)  7 Pt 2.62-2.74, 5 Cu 2.66-2.70
Pt (0.3250, 0.6708, 0.3379)  6 Cu 2.63-2.70, 6 Pt 2.67-2.74